First-principles (PBE) data for a relaxed structure of PrDy15Ho4, as listed in Alexandria via LeMat-Bulk.

The structure belongs to space group P4/mmm (No. 123); the cell edges are 5.016, 5.016 and 25.084 Å and the angles 90.00°, 90.00° and 90.00°. The asymmetric unit holds Pr at (0.000, 0.000, 0.000), Dy at (0.000, 0.500, 0.102), Dy at (0.000, 0.500, 0.301), Dy at (0.000, 0.500, 0.500), Dy at (0.500, 0.500, 0.000), Dy at (0.500, 0.500, 0.202), Dy at (0.500, 0.500, 0.400), Ho at (0.000, 0.000, 0.201) and Ho at (0.000, 0.000, 0.401).

The density of states at the Fermi level comes out at 26.3 states/eV/cell. The value obtained for the formation energy is 0.019 eV per atom. The calculation puts the total energy at -4.587 eV/atom.

***

First-principles (PBE) data for a relaxed structure of Pr7DyHo2, as listed in Alexandria via LeMat-Bulk.

The structure belongs to space group Cmmm (No. 65); the cell edges are 8.950, 16.515 and 5.708 Å and the angles 90.00°, 90.00° and 90.00°. The asymmetric unit holds Pr at (0.000, 0.000, 0.000), Pr at (0.000, 0.278, 0.500), Pr at (0.180, 0.386, 0.000), Dy at (0.000, 0.500, 0.500) and Ho at (0.000, 0.205, 0.000).

The density of states at the Fermi level comes out at 30.8 states/eV/cell. The value obtained for the formation energy is 0.628 eV per atom. The calculation puts the total energy at -4.093 eV/atom.

***

First-principles (PBE) data for a relaxed structure of Pr7Dy3Ho, as listed in Alexandria via LeMat-Bulk.

The structure belongs to space group C2/m (No. 12); the cell edges are 12.899, 11.472 and 5.961 Å and the angles 90.00°, 117.48° and 90.00°. The asymmetric unit holds Pr at (0.000, 0.000, 0.000), Pr at (0.192, 0.289, 0.692), Pr at (0.209, 0.500, 0.208), Dy at (0.000, 0.295, 0.000), Dy at (0.000, 0.500, 0.500) and Ho at (0.000, 0.000, 0.500).

The density of states at the Fermi level comes out at 28.6 states/eV/cell. The value obtained for the formation energy is 0.222 eV per atom. As for the offset from the most stable computed form: 38 meV per atom. The calculation puts the total energy at -4.491 eV/atom.

***

First-principles (PBE) data for a relaxed structure of PrDyHo4, as listed in Alexandria via LeMat-Bulk.

The structure belongs to space group P-1 (No. 2); the cell edges are 3.556, 6.159 and 9.415 Å and the angles 77.26°, 79.22° and 73.38°. The asymmetric unit holds Pr at (0.000, 0.000, 0.000), Dy at (0.000, 0.500, 0.500), Ho at (0.332, 0.000, 0.336) and Ho at (0.333, 0.502, 0.831).

The density of states at the Fermi level comes out at 8.3 states/eV/cell. The value obtained for the formation energy is 0.021 eV per atom. As for the offset from the most stable computed form: 0 meV per atom. The calculation puts the total energy at -4.594 eV/atom.

***

First-principles (PBE) data for a relaxed structure of PrDy5Ho, as listed in Alexandria via LeMat-Bulk.

The structure belongs to space group Immm (No. 71); the cell edges are 5.781, 8.662 and 11.835 Å and the angles 90.00°, 90.00° and 90.00°. The asymmetric unit holds Pr at (0.000, 0.000, 0.000), Dy at (0.000, 0.000, 0.253), Dy at (0.000, 0.320, 0.500), Dy at (0.000, 0.500, 0.000) and Ho at (0.000, 0.000, 0.500).

The density of states at the Fermi level comes out at 18.2 states/eV/cell. The value obtained for the formation energy is 1.099 eV per atom. As for the offset from the most stable computed form: 908 meV per atom. The calculation puts the total energy at -3.525 eV/atom.

***

First-principles (PBE) data for a relaxed structure of Pr2DyHo4, as listed in Alexandria via LeMat-Bulk.

The structure belongs to space group I4/mmm (No. 139); the cell edges are 8.455, 8.455 and 6.552 Å and the angles 90.00°, 90.00° and 90.00°. The asymmetric unit holds Pr at (0.000, 0.500, 0.250), Dy at (0.000, 0.000, 0.000) and Ho at (0.198, 0.198, 0.500).

The density of states at the Fermi level comes out at 24.2 states/eV/cell. The value obtained for the formation energy is 0.258 eV per atom. As for the offset from the most stable computed form: 237 meV per atom. The calculation puts the total energy at -4.381 eV/atom.

***

First-principles (PBE) data for a relaxed structure of Pr2DyHo5, as listed in Alexandria via LeMat-Bulk.

The structure belongs to space group Pbam (No. 55); the cell edges are 7.146, 14.293 and 5.053 Å and the angles 90.00°, 90.00° and 90.00°. The asymmetric unit holds Pr at (0.249, 0.125, 0.000), Dy at (0.000, 0.500, 0.500), Ho at (0.000, 0.000, 0.500), Ho at (0.001, 0.750, 0.500) and Ho at (0.249, 0.375, 0.000).

The density of states at the Fermi level comes out at 22.6 states/eV/cell. The value obtained for the formation energy is 0.023 eV per atom. As for the offset from the most stable computed form: 0 meV per atom. The calculation puts the total energy at -4.609 eV/atom.

***

First-principles (PBE) data for a relaxed structure of Pr6Dy3Ho2, as listed in Alexandria via LeMat-Bulk.

The structure belongs to space group I4/mmm (No. 139); the cell edges are 4.773, 4.773 and 34.285 Å and the angles 90.00°, 90.00° and 90.00°. The asymmetric unit holds Pr at (0.000, 0.000, 0.207), Pr at (0.000, 0.500, 0.119), Dy at (0.000, 0.000, 0.307), Dy at (0.000, 0.000, 0.500) and Ho at (0.000, 0.000, 0.045).

The density of states at the Fermi level comes out at 33.1 states/eV/cell. The value obtained for the formation energy is 0.297 eV per atom. As for the offset from the most stable computed form: 218 meV per atom. The calculation puts the total energy at -4.397 eV/atom.